Below is a geometry-optimized FeHg2Cl structure, with properties calculated at the GGA-PBE level.

For the energy, the calculation gives -2.512 eV/atom. For the formation energy (no corrections), the calculation gives 215.9 meV per atom. Its energy relative to the lowest polymorph listed for this composition is 251 meV/atom. For the density of states at the Fermi level, the calculation gives 4.05 states/eV/cell. As for the crystal system: orthorhombic.

It has space group Cmmm (No. 65), with a = 3.745 Å, b = 5.368 Å, c = 8.325 Å, α = 90.00°, β = 90.00° and γ = 90.00°. The asymmetric unit holds Fe at (0.000, 0.000, 0.000), Hg at (0.000, 0.500, 0.234) and Cl at (0.000, 0.000, 0.500).

Below is a geometry-optimized GaNi3Ir structure, with properties calculated at the GGA-PBE level.

As for the formation energy: 1.0962 eV/atom. For the energy, the calculation gives -4.750 eV/atom. Its energy relative to the lowest polymorph listed for this composition is 1268 meV/atom. For the density of states at the Fermi level, the calculation gives 7.80 states/eV/cell. As for the crystal system: cubic.

It has space group Pm-3m (No. 221), with a = 4.557 Å, b = 4.557 Å, c = 4.557 Å, α = 90.00°, β = 90.00° and γ = 90.00°. The asymmetric unit holds Ga at (0.000, 0.000, 0.000), Ni at (0.000, 0.500, 0.500) and Ir at (0.500, 0.500, 0.500).